A plane-wave DFT calculation with PBE-GGA was carried out for a relaxed Ba5InAg4 crystal.

## Properties
E = -2.641 eV per atom
theoretical density = 5.695 g/cm³
total magnetization = 0.00 μB/cell

a b c (Å): 4.1674 4.1674 20.7012
angles (deg): 90.00 90.00 90.00
With the nearest neighbours (Å) after each atom.
Space group P4/mmm (No. 123)
Asymmetric unit:
Ba (0.0000, 0.0000, 0.0000) [1 per cell]  8 Ag 3.58
Ba (0.0000, 0.0000, 0.1964) [2 per cell]  8 Ag 3.58
Ba (0.0000, 0.0000, 0.3955) [2 per cell]  4 Ag 3.61, 4 In 3.66
In (0.5000, 0.5000, 0.5000) [1 per cell]  8 Ba 3.66
Ag (0.5000, 0.5000, 0.0984) [2 per cell]  8 Ba 3.58
Ag (0.5000, 0.5000, 0.2948) [2 per cell]  8 Ba 3.58-3.61


A plane-wave DFT calculation with PBE-GGA was carried out for a relaxed Pm6BC2Cl3 crystal.

## Properties
E = -5.915 eV per atom
theoretical density = 6.297 g/cm³
total magnetization = 0.00 μB/cell

a b c (Å): 17.8904 3.8214 8.2882
angles (deg): 90.00 109.75 90.00
With the nearest neighbours (Å) after each atom.
Space group C2/m (No. 12)
Asymmetric unit:
Pm (0.0140, 0.0000, 0.2275) [4 per cell]  1 C 2.61, 2 B 2.64
Pm (0.1568, 0.5000, 0.1186) [4 per cell]  2 C 2.59, 1 B 2.64
Pm (0.1800, 0.5000, 0.5515) [4 per cell]  3 C 2.54-2.57
B (0.0000, 0.5000, 0.0000) [2 per cell]  6 Pm 2.64
C (0.1692, 0.0000, 0.3378) [4 per cell]  6 Pm 2.54-2.61
Cl (0.0000, 0.5000, 0.5000) [2 per cell]  6 Pm 3.03-3.10
Cl (0.1660, 0.0000, 0.8325) [4 per cell]  6 Pm 3.06-3.09


A plane-wave DFT calculation with PBE-GGA was carried out for a relaxed ReH2Cl crystal.

## Properties
theoretical density = 8.560 g/cm³
total magnetization = 0.00 μB/cell
offset from the most stable computed form = 0 meV per atom

a b c (Å): 5.0844 5.0844 6.7143
angles (deg): 90.00 90.00 90.00
With the nearest neighbours (Å) after each atom.
Space group I-42d (No. 122)
Asymmetric unit:
Re (0.0000, 0.0000, 0.0000) [4 per cell]  4 H 1.73
H (0.1603, 0.2500, 0.1250) [8 per cell]  2 Re 1.73
Cl (0.0000, 0.0000, 0.5000) [4 per cell]  4 H 2.30


A plane-wave DFT calculation with PBE-GGA was carried out for a relaxed CaOsI2Cl crystal.

## Properties
E = -2.821 eV per atom
theoretical density = 4.029 g/cm³
total magnetization = 4.99 μB/cell

a b c (Å): 5.8745 5.8745 6.2046
angles (deg): 90.00 90.00 90.00
With the nearest neighbours (Å) after each atom.
Space group P4/mmm (No. 123)
Asymmetric unit:
Ca (0.0000, 0.0000, 0.0000) [1 per cell]  4 I 2.94, 2 Os 3.10
Os (0.0000, 0.0000, 0.5000) [1 per cell]  2 Ca 3.10
I (0.0000, 0.5000, 0.0000) [2 per cell]  2 Ca 2.94
Cl (0.5000, 0.5000, 0.5000) [1 per cell]  4 Os 4.15, 8 I 4.27


A plane-wave DFT calculation with PBE-GGA was carried out for a relaxed HoPaSnO6 crystal.

## Properties
E = -8.200 eV per atom
theoretical density = 7.955 g/cm³
total magnetization = 0.00 μB/cell

a b c (Å): 5.5342 5.5342 9.6120
angles (deg): 90.00 90.00 120.00
With the nearest neighbours (Å) after each atom.
Space group P-31c (No. 163)
Asymmetric unit:
Ho (0.3333, 0.6667, 0.2500) [2 per cell]  6 O 2.27
Pa (0.0000, 0.0000, 0.0000) [2 per cell]  6 O 2.21
Sn (0.3333, 0.6667, 0.7500) [2 per cell]  6 O 2.11
O (0.0229, 0.3411, 0.6296) [12 per cell]  1 Sn 2.11, 1 Pa 2.21, 1 Ho 2.27


A plane-wave DFT calculation with PBE-GGA was carried out for a relaxed TbTlVCl6 crystal.

## Properties
E = -4.659 eV per atom
theoretical density = 3.735 g/cm³
total magnetization = 6.00 μB/cell

a b c (Å): 6.6733 6.6733 14.4564
angles (deg): 90.00 90.00 120.00
With the nearest neighbours (Å) after each atom.
Space group P-31c (No. 163)
Asymmetric unit:
Tb (0.3333, 0.6667, 0.2500) [2 per cell]  6 Cl 2.67
Tl (0.0000, 0.0000, 0.0000) [2 per cell]  6 Cl 3.25
V (0.3333, 0.6667, 0.7500) [2 per cell]  6 Cl 2.50
Cl (0.0196, 0.3767, 0.6482) [12 per cell]  1 V 2.50, 1 Tb 2.67


A plane-wave DFT calculation with PBE-GGA was carried out for a relaxed LiTaRu crystal.

## Properties
theoretical density = 9.090 g/cm³
total magnetization = 0.00 μB/cell
offset from the most stable computed form = 369 meV per atom

a b c (Å): 5.9547 5.9547 5.9547
angles (deg): 90.00 90.00 90.00
With the nearest neighbours (Å) after each atom.
Space group F-43m (No. 216)
Asymmetric unit:
Li (0.0000, 0.0000, 0.0000) [4 per cell]  4 Ru 2.58
Ta (0.0000, 0.0000, 0.5000) [4 per cell]  4 Ru 2.58
Ru (0.2500, 0.2500, 0.7500) [4 per cell]  4 Ta 2.58, 4 Li 2.58


A plane-wave DFT calculation with PBE-GGA was carried out for a relaxed AlZnCu2 crystal.

## Properties
E = -3.448 eV per atom
theoretical density = 6.912 g/cm³
total magnetization = 0.00 μB/cell

a b c (Å): 5.4936 6.8567 2.7995
angles (deg): 90.00 90.00 90.00
With the nearest neighbours (Å) after each atom.
Space group Cmmm (No. 65)
Asymmetric unit:
Al (0.0000, 0.0000, 0.0000) [2 per cell]  8 Cu 2.60, 2 Zn 2.75, 2 Al 2.80
Zn (0.0000, 0.5000, 0.0000) [2 per cell]  8 Cu 2.60, 2 Al 2.75, 2 Zn 2.80
Cu (0.2500, 0.2500, 0.5000) [4 per cell]  4 Al 2.60, 4 Zn 2.60, 4 Cu 2.75-2.80


A plane-wave DFT calculation with PBE-GGA was carried out for a relaxed PrAlFe2H8 crystal.

## Properties
E = -4.524 eV per atom
theoretical density = 5.060 g/cm³
total magnetization = 0.00 μB/cell

a b c (Å): 4.4274 4.4274 16.6818
angles (deg): 90.00 90.00 120.00
With the nearest neighbours (Å) after each atom.
Space group R-3 (No. 148, hexagonal axes)
Asymmetric unit:
Pr (0.0000, 0.0000, 0.0000) [3 per cell]  6 H 2.33
Al (0.0000, 0.0000, 0.5000) [3 per cell]  6 H 1.85
Fe (0.0000, 0.0000, 0.1997) [6 per cell]  7 H 1.61-1.78
H (0.0000, 0.0000, 0.2966) [6 per cell]  1 Fe 1.62
H (0.0155, 0.7393, 0.8796) [18 per cell]  2 Fe 1.61-1.78


A plane-wave DFT calculation with PBE-GGA was carried out for a relaxed YZrSi2 crystal.

## Properties
theoretical density = 4.954 g/cm³
total magnetization = 0.00 μB/cell
offset from the most stable computed form = 416 meV per atom

a b c (Å): 3.9383 4.1540 4.8420
angles (deg): 90.00 90.00 90.00
With the nearest neighbours (Å) after each atom.
Space group Pmmm (No. 47)
Asymmetric unit:
Y (0.0000, 0.0000, 0.0000) [1 per cell]  8 Si 2.86-3.12, 4 Zr 3.19
Zr (0.0000, 0.5000, 0.5000) [1 per cell]  8 Si 2.86-3.12, 4 Y 3.19
Si (0.5000, 0.0000, 0.5000) [1 per cell]  4 Zr 2.86, 4 Y 3.12, 4 Si 3.19
Si (0.5000, 0.5000, 0.0000) [1 per cell]  4 Y 2.86, 4 Zr 3.12, 4 Si 3.19


A plane-wave DFT calculation with PBE-GGA was carried out for a relaxed Ti3IrN crystal.

## Properties
E = -8.751 eV per atom
theoretical density = 7.843 g/cm³
total magnetization = 0.00 μB/cell

a b c (Å): 12.6621 3.0150 7.7646
angles (deg): 90.00 91.84 90.00
With the nearest neighbours (Å) after each atom.
Space group C2/m (No. 12)
Asymmetric unit:
Ti (0.0500, 0.0000, 0.3248) [4 per cell]  2 N 2.12
Ti (0.1750, 0.0000, 0.5899) [4 per cell]  3 N 2.09-2.11
Ti (0.1891, 0.5000, 0.1260) [4 per cell]  1 N 2.18
Ir (0.1027, 0.0000, 0.9041) [4 per cell]  5 Ti 2.51-2.65
N (0.1595, 0.5000, 0.4012) [4 per cell]  6 Ti 2.09-2.18


Repeat the second record exactly.
A plane-wave DFT calculation with PBE-GGA was carried out for a relaxed Pm6BC2Cl3 crystal.

## Properties
E = -5.915 eV per atom
theoretical density = 6.297 g/cm³
total magnetization = 0.00 μB/cell

a b c (Å): 17.8904 3.8214 8.2882
angles (deg): 90.00 109.75 90.00
With the nearest neighbours (Å) after each atom.
Space group C2/m (No. 12)
Asymmetric unit:
Pm (0.0140, 0.0000, 0.2275) [4 per cell]  1 C 2.61, 2 B 2.64
Pm (0.1568, 0.5000, 0.1186) [4 per cell]  2 C 2.59, 1 B 2.64
Pm (0.1800, 0.5000, 0.5515) [4 per cell]  3 C 2.54-2.57
B (0.0000, 0.5000, 0.0000) [2 per cell]  6 Pm 2.64
C (0.1692, 0.0000, 0.3378) [4 per cell]  6 Pm 2.54-2.61
Cl (0.0000, 0.5000, 0.5000) [2 per cell]  6 Pm 3.03-3.10
Cl (0.1660, 0.0000, 0.8325) [4 per cell]  6 Pm 3.06-3.09